Record 1
A geometry-optimized Ca6Pd2AuN structure. Source: Alexandria via LeMat-Bulk, functional PBE-GGA.

Properties
Formation energy from raw total energies in eV/atom: -0.639
N(E_F) in states/eV/f.u.: 4.95

Geometry as CIF:
```
data_Ca6Pd2AuN
_chemical_formula_sum 'Ca12 Pd4 Au2 N2'
_cell_length_a 6.8333
_cell_length_b 7.5603
_cell_length_c 11.6864
_cell_angle_alpha 90.00
_cell_angle_beta 122.17
_cell_angle_gamma 90.00
_symmetry_space_group_name_H-M 'P 1 21/c 1'
_symmetry_Int_Tables_number 14
loop_
_symmetry_equiv_pos_as_xyz
'x,y,z'
'-x,-y,-z'
'-x,y+1/2,-z+1/2'
'x,-y+1/2,z+1/2'
loop_
_atom_site_label
_atom_site_type_symbol
_atom_site_fract_x
_atom_site_fract_y
_atom_site_fract_z
Ca1 Ca 0.0852 0.0467 0.2268
Ca2 Ca 0.2096 0.7093 0.0672
Ca3 Ca 0.3563 0.1556 0.0590
Pd1 Pd 0.3011 0.1060 0.7586
Au1 Au 0.5000 0.0000 0.5000
N1 N 0.0000 0.0000 0.0000
```


Record 2
A geometry-optimized Ca6Pt2AuN structure. Source: Alexandria via LeMat-Bulk, functional PBE-GGA.

Properties
Formation energy from raw total energies in eV/atom: -0.754
N(E_F) in states/eV/f.u.: 4.48

Geometry as CIF:
```
data_Ca6Pt2AuN
_chemical_formula_sum 'Ca12 Pt4 Au2 N2'
_cell_length_a 6.8085
_cell_length_b 7.5324
_cell_length_c 11.5341
_cell_angle_alpha 90.00
_cell_angle_beta 122.13
_cell_angle_gamma 90.00
_symmetry_space_group_name_H-M 'P 1 21/c 1'
_symmetry_Int_Tables_number 14
loop_
_symmetry_equiv_pos_as_xyz
'x,y,z'
'-x,-y,-z'
'-x,y+1/2,-z+1/2'
'x,-y+1/2,z+1/2'
loop_
_atom_site_label
_atom_site_type_symbol
_atom_site_fract_x
_atom_site_fract_y
_atom_site_fract_z
Ca1 Ca 0.0780 0.0521 0.2261
Ca2 Ca 0.2142 0.7087 0.0726
Ca3 Ca 0.3565 0.1542 0.0591
Pt1 Pt 0.3029 0.1073 0.7612
Au1 Au 0.5000 0.0000 0.5000
N1 N 0.0000 0.0000 0.0000
```


Record 3
A geometry-optimized CaRhAuN2 structure. Source: Alexandria via LeMat-Bulk, functional PBE-GGA.

Properties
Formation energy from raw total energies in eV/atom: 1.358
N(E_F) in states/eV/f.u.: 4.34

Geometry as CIF:
```
data_CaRhAuN2
_chemical_formula_sum 'Ca1 Rh1 Au1 N2'
_cell_length_a 4.1143
_cell_length_b 4.1143
_cell_length_c 5.1998
_cell_angle_alpha 90.00
_cell_angle_beta 90.00
_cell_angle_gamma 90.00
_symmetry_space_group_name_H-M 'P 4/m m m'
_symmetry_Int_Tables_number 123
_symmetry_space_group_name_Hall '-P 4 2'
loop_
_atom_site_label
_atom_site_type_symbol
_atom_site_fract_x
_atom_site_fract_y
_atom_site_fract_z
Ca1 Ca 0.0000 0.0000 0.0000
Rh1 Rh 0.5000 0.5000 0.0000
Au1 Au 0.5000 0.5000 0.5000
N1 N 0.0000 0.5000 0.5000
```


Record 4
A geometry-optimized Ca2RhAuN structure. Source: Alexandria via LeMat-Bulk, functional PBE-GGA.

Properties
Formation energy from raw total energies in eV/atom: -0.724
N(E_F) in states/eV/f.u.: 3.03

Geometry as CIF:
```
data_Ca2RhAuN
_chemical_formula_sum 'Ca2 Rh1 Au1 N1'
_cell_length_a 5.0416
_cell_length_b 5.0416
_cell_length_c 3.8259
_cell_angle_alpha 90.00
_cell_angle_beta 90.00
_cell_angle_gamma 90.00
_symmetry_space_group_name_H-M 'P 4/m m m'
_symmetry_Int_Tables_number 123
_symmetry_space_group_name_Hall '-P 4 2'
loop_
_atom_site_label
_atom_site_type_symbol
_atom_site_fract_x
_atom_site_fract_y
_atom_site_fract_z
Ca1 Ca 0.0000 0.5000 0.0000
Rh1 Rh 0.0000 0.0000 0.5000
Au1 Au 0.5000 0.5000 0.5000
N1 N 0.0000 0.0000 0.0000
```


Record 5
A geometry-optimized CaRh2AuN structure. Source: Alexandria via LeMat-Bulk, functional PBE-GGA.

Properties
Formation energy from raw total energies in eV/atom: -0.257
N(E_F) in states/eV/f.u.: 3.51

Geometry as CIF:
```
data_CaRh2AuN
_chemical_formula_sum 'Ca1 Rh2 Au1 N1'
_cell_length_a 4.0756
_cell_length_b 4.0756
_cell_length_c 4.7171
_cell_angle_alpha 90.00
_cell_angle_beta 90.00
_cell_angle_gamma 90.00
_symmetry_space_group_name_H-M 'P 4/m m m'
_symmetry_Int_Tables_number 123
_symmetry_space_group_name_Hall '-P 4 2'
loop_
_atom_site_label
_atom_site_type_symbol
_atom_site_fract_x
_atom_site_fract_y
_atom_site_fract_z
Ca1 Ca 0.0000 0.0000 0.0000
Rh1 Rh 0.0000 0.5000 0.5000
Au1 Au 0.5000 0.5000 0.0000
N1 N 0.0000 0.0000 0.5000
```


Record 6
A geometry-optimized Ca6Au2SN structure. Source: Alexandria via LeMat-Bulk, functional PBE-GGA.

Properties
Formation energy from raw total energies in eV/atom: -0.933
N(E_F) in states/eV/f.u.: 7.36

Geometry as CIF:
```
data_Ca6Au2SN
_chemical_formula_sum 'Ca12 Au4 S2 N2'
_cell_length_a 6.9284
_cell_length_b 7.3883
_cell_length_c 12.1274
_cell_angle_alpha 90.00
_cell_angle_beta 124.23
_cell_angle_gamma 90.00
_symmetry_space_group_name_H-M 'P 1 21/c 1'
_symmetry_Int_Tables_number 14
loop_
_symmetry_equiv_pos_as_xyz
'x,y,z'
'-x,-y,-z'
'-x,y+1/2,-z+1/2'
'x,-y+1/2,z+1/2'
loop_
_atom_site_label
_atom_site_type_symbol
_atom_site_fract_x
_atom_site_fract_y
_atom_site_fract_z
Ca1 Ca 0.1398 0.0237 0.2330
Ca2 Ca 0.2250 0.7163 0.0483
Ca3 Ca 0.3351 0.1814 0.0464
Au1 Au 0.2765 0.0727 0.7497
S1 S 0.5000 0.0000 0.5000
N1 N 0.0000 0.0000 0.0000
```